[1]
The following is a PBE-GGA calculation of Ba5Na4Sr4 after structural relaxation, from Alexandria.

```
Ba5Na4Sr4
1.0
-7.6158 7.6158 3.0340
7.6158 -7.6158 3.0340
7.6158 7.6158 -3.0340
Ba Na Sr
5 4 4
Direct
0.0000 0.0000 0.0000 Ba
0.3072 0.6089 0.9161 Ba
0.3911 0.3072 0.6982 Ba
0.6089 0.6928 0.3018 Ba
0.6928 0.3911 0.0839 Ba
0.0860 0.7584 0.8444 Na
0.2416 0.0860 0.3275 Na
0.7584 0.9140 0.6725 Na
0.9140 0.2416 0.1556 Na
0.1026 0.4055 0.5081 Sr
0.4055 0.8974 0.3029 Sr
0.5945 0.1026 0.6971 Sr
0.8974 0.5945 0.4919 Sr
```

Computed properties:
As for the symmetry: I4/m, No. 87. As for the formation energy: 28.5 meV per atom.

***

[2]
The following is a PBE-GGA calculation of Ba2NaSr after structural relaxation, from Alexandria.

```
Ba2NaSr
1.0
4.3429 0.0000 0.0000
-2.1715 3.7611 0.0000
0.0000 0.0000 41.3880
Ba Na Sr
6 3 3
Direct
0.0000 0.0000 0.0000 Ba
0.0000 0.0000 0.1743 Ba
0.3333 0.6667 0.6667 Ba
0.3333 0.6667 0.8410 Ba
0.6667 0.3333 0.3333 Ba
0.6667 0.3333 0.5076 Ba
0.0000 0.0000 0.5872 Na
0.3333 0.6667 0.2538 Na
0.6667 0.3333 0.9205 Na
0.0000 0.0000 0.4205 Sr
0.3333 0.6667 0.0872 Sr
0.6667 0.3333 0.7539 Sr
```

Computed properties:
As for the symmetry: R3m, No. 160. As for the formation energy: 44.6 meV per atom. The energy above the lowest structure with this stoichiometry comes out at 11 kJ/mol of formula units.

***

[3]
The following is a PBE-GGA calculation of Ba16Na6Sr7 after structural relaxation, from Alexandria.

```
Ba16Na6Sr7
1.0
0.0000 9.9609 9.9609
9.9609 0.0000 9.9609
9.9609 9.9609 0.0000
Ba Na Sr
16 6 7
Direct
0.0083 0.3306 0.3306 Ba
0.1191 0.1191 0.1191 Ba
0.1191 0.1191 0.6426 Ba
0.1191 0.6426 0.1191 Ba
0.3306 0.0083 0.3306 Ba
0.3306 0.3306 0.0083 Ba
0.3306 0.3306 0.3306 Ba
0.3574 0.8809 0.8809 Ba
0.6426 0.1191 0.1191 Ba
0.6694 0.6694 0.6694 Ba
0.6694 0.6694 0.9917 Ba
0.6694 0.9917 0.6694 Ba
0.8809 0.3574 0.8809 Ba
0.8809 0.8809 0.3574 Ba
0.8809 0.8809 0.8809 Ba
0.9917 0.6694 0.6694 Ba
0.2487 0.2487 0.7513 Na
0.2487 0.7513 0.2487 Na
0.2487 0.7513 0.7513 Na
0.7513 0.2487 0.2487 Na
0.7513 0.2487 0.7513 Na
0.7513 0.7513 0.2487 Na
0.0000 0.0000 0.0000 Sr
0.0000 0.0000 0.5000 Sr
0.0000 0.5000 0.0000 Sr
0.0000 0.5000 0.5000 Sr
0.5000 0.0000 0.0000 Sr
0.5000 0.0000 0.5000 Sr
0.5000 0.5000 0.0000 Sr
```

Computed properties:
As for the symmetry: Fm-3m, No. 225. As for the formation energy: 142.7 meV per atom.

***

[4]
The following is a PBE-GGA calculation of Ba2Na3Sr2 after structural relaxation, from Alexandria.

```
Ba2Na3Sr2
1.0
14.6489 0.0000 0.0000
0.0000 6.7008 0.0000
-5.8602 0.0000 7.1951
Ba Na Sr
4 6 4
Direct
0.1674 0.0000 0.2936 Ba
0.3326 0.5000 0.7064 Ba
0.6674 0.5000 0.2936 Ba
0.8326 0.0000 0.7064 Ba
0.0000 0.5000 0.0000 Na
0.0121 0.5000 0.6784 Na
0.4879 0.0000 0.3216 Na
0.5000 0.0000 0.0000 Na
0.5121 0.0000 0.6784 Na
0.9879 0.5000 0.3216 Na
0.1687 0.0000 0.7935 Sr
0.3313 0.5000 0.2065 Sr
0.6687 0.5000 0.7935 Sr
0.8313 0.0000 0.2065 Sr
```

Computed properties:
As for the symmetry: C2/m, No. 12. As for the formation energy: 49.1 meV per atom. The energy above the lowest structure with this stoichiometry comes out at 0 kJ/mol of formula units.

***

[5]
The following is a PBE-GGA calculation of BaNa5Sr7 after structural relaxation, from Alexandria.

```
BaNa5Sr7
1.0
-3.6783 6.5175 6.7111
3.6783 -6.5175 6.7111
3.6783 6.5175 -6.7111
Ba Na Sr
1 5 7
Direct
0.0000 0.0000 0.0000 Ba
0.4869 0.4809 0.4991 Na
0.4869 0.9878 0.0060 Na
0.7603 0.2603 0.5000 Na
0.9818 0.4809 0.9940 Na
0.9818 0.9878 0.5009 Na
0.1755 0.4813 0.6942 Sr
0.2122 0.7122 0.5000 Sr
0.3351 0.9881 0.3470 Sr
0.3458 0.3458 0.0000 Sr
0.6411 0.9881 0.6530 Sr
0.6426 0.6426 0.0000 Sr
0.7871 0.4813 0.3058 Sr
```

Computed properties:
As for the symmetry: Imm2, No. 44. As for the formation energy: 32.7 meV per atom.

***

[6]
The following is a PBE-GGA calculation of BaNaSr after structural relaxation, from Alexandria.

```
BaNaSr
1.0
8.9024 0.0000 0.0000
0.0000 8.9024 0.0000
0.0000 0.0000 8.9024
Ba Na Sr
4 4 4
Direct
0.0000 0.0000 0.0000 Ba
0.0000 0.5000 0.5000 Ba
0.5000 0.0000 0.5000 Ba
0.5000 0.5000 0.0000 Ba
0.2500 0.2500 0.7500 Na
0.2500 0.7500 0.2500 Na
0.7500 0.2500 0.2500 Na
0.7500 0.7500 0.7500 Na
0.0000 0.0000 0.5000 Sr
0.0000 0.5000 0.0000 Sr
0.5000 0.0000 0.0000 Sr
0.5000 0.5000 0.5000 Sr
```

Computed properties:
As for the symmetry: F-43m, No. 216. As for the formation energy: 202.7 meV per atom. The energy above the lowest structure with this stoichiometry comes out at 54 kJ/mol of formula units.

***

[7]
The following is a PBE-GGA calculation of Ba2Na2Sr15 after structural relaxation, from Alexandria.

```
Ba2Na2Sr15
1.0
6.8379 3.9479 6.9548
-6.8379 3.9479 6.9548
0.0000 -7.8958 6.9548
Ba Na Sr
2 2 15
Direct
0.1930 0.1930 0.1930 Ba
0.8070 0.8070 0.8070 Ba
0.4108 0.4108 0.4108 Na
0.5892 0.5892 0.5892 Na
0.0000 0.5000 0.5000 Sr
0.1594 0.1594 0.6576 Sr
0.1594 0.6576 0.1594 Sr
0.1846 0.5000 0.8154 Sr
0.1846 0.8154 0.5000 Sr
0.3424 0.8406 0.8406 Sr
0.5000 0.0000 0.5000 Sr
0.5000 0.1846 0.8154 Sr
0.5000 0.5000 0.0000 Sr
0.5000 0.8154 0.1846 Sr
0.6576 0.1594 0.1594 Sr
0.8154 0.1846 0.5000 Sr
0.8154 0.5000 0.1846 Sr
0.8406 0.3424 0.8406 Sr
0.8406 0.8406 0.3424 Sr
```

Computed properties:
As for the symmetry: R-3m, No. 166. As for the formation energy: 111.9 meV per atom.

***

[8]
The following is a PBE-GGA calculation of BaNa2Sr5 after structural relaxation, from Alexandria.

```
BaNa2Sr5
1.0
4.2231 0.0000 0.0000
0.0000 12.8374 0.0000
0.0000 0.0000 15.6492
Ba Na Sr
2 4 10
Direct
0.0000 0.0000 0.0000 Ba
0.5000 0.5000 0.5000 Ba
0.0000 0.5000 0.2552 Na
0.0000 0.5000 0.7448 Na
0.5000 0.0000 0.2448 Na
0.5000 0.0000 0.7552 Na
0.0000 0.2319 0.3679 Sr
0.0000 0.2319 0.6321 Sr
0.0000 0.5000 0.0000 Sr
0.0000 0.7681 0.3679 Sr
0.0000 0.7681 0.6321 Sr
0.5000 0.0000 0.5000 Sr
0.5000 0.2681 0.1321 Sr
0.5000 0.2681 0.8679 Sr
0.5000 0.7319 0.1321 Sr
0.5000 0.7319 0.8679 Sr
```

Computed properties:
As for the symmetry: Immm, No. 71. As for the formation energy: 34.8 meV per atom.

***

[9]
The following is a PBE-GGA calculation of Ba7NaSr3 after structural relaxation, from Alexandria.

```
Ba7NaSr3
1.0
8.7010 0.0000 0.0000
-4.3505 7.5352 0.0000
0.0000 0.0000 10.6047
Ba Na Sr
7 1 3
Direct
0.0000 0.0000 0.0000 Ba
0.1672 0.3343 0.3415 Ba
0.1672 0.8328 0.3415 Ba
0.5006 0.0013 0.9963 Ba
0.5006 0.4994 0.9963 Ba
0.6657 0.8328 0.3415 Ba
0.9987 0.4994 0.9963 Ba
0.6667 0.3333 0.3344 Na
0.3342 0.1671 0.6658 Sr
0.8329 0.1671 0.6658 Sr
0.8329 0.6658 0.6658 Sr
```

Computed properties:
As for the symmetry: P3m1, No. 156. As for the formation energy: 124.4 meV per atom. The energy above the lowest structure with this stoichiometry comes out at 50 kJ/mol of formula units.

***

[10]
The following is a PBE-GGA calculation of BaNa3Sr after structural relaxation, from Alexandria.

```
BaNa3Sr
1.0
3.6242 -9.8187 0.0000
3.6242 9.8187 0.0000
0.0000 0.0000 6.7421
Ba Na Sr
2 6 2
Direct
0.2061 0.7939 0.7500 Ba
0.7939 0.2061 0.2500 Ba
0.0000 0.0000 0.0000 Na
0.0000 0.0000 0.5000 Na
0.1300 0.3714 0.7500 Na
0.3714 0.1300 0.2500 Na
0.6286 0.8700 0.7500 Na
0.8700 0.6286 0.2500 Na
0.4278 0.5722 0.2500 Sr
0.5722 0.4278 0.7500 Sr
```

Computed properties:
As for the symmetry: Cmcm, No. 63. As for the formation energy: 66.1 meV per atom. The energy above the lowest structure with this stoichiometry comes out at 0 kJ/mol of formula units.

***

[11]
The following is a PBE-GGA calculation of Ba6Na5Sr after structural relaxation, from Alexandria.

```
Ba6Na5Sr
1.0
6.6651 0.0000 0.0000
0.0000 9.6445 0.0000
-3.3037 0.0000 10.0221
Ba Na Sr
6 5 1
Direct
0.0000 0.2373 0.0000 Ba
0.0000 0.7627 0.0000 Ba
0.3266 0.2459 0.6575 Ba
0.3266 0.7541 0.6575 Ba
0.6734 0.2459 0.3425 Ba
0.6734 0.7541 0.3425 Ba
0.1592 0.5000 0.3123 Na
0.1699 0.0000 0.3331 Na
0.5000 0.0000 0.0000 Na
0.8301 0.0000 0.6669 Na
0.8408 0.5000 0.6877 Na
0.5000 0.5000 0.0000 Sr
```

Computed properties:
As for the symmetry: P2/m, No. 10. As for the formation energy: 23.9 meV per atom.

***

[12]
The following is a PBE-GGA calculation of Ba3Na8Sr after structural relaxation, from Alexandria.

```
Ba3Na8Sr
1.0
7.2645 0.0000 0.0000
-3.6323 6.2913 0.0000
0.0000 0.0000 11.7952
Ba Na Sr
3 8 1
Direct
0.0000 0.0000 0.0000 Ba
0.0000 0.0000 0.3791 Ba
0.3333 0.6667 0.8741 Ba
0.0074 0.5037 0.1910 Na
0.3277 0.1639 0.6871 Na
0.4963 0.5037 0.1910 Na
0.4963 0.9926 0.1910 Na
0.6667 0.3333 0.4405 Na
0.6667 0.3333 0.9398 Na
0.8361 0.1639 0.6871 Na
0.8361 0.6723 0.6871 Na
0.3333 0.6667 0.5017 Sr
```

Computed properties:
As for the symmetry: P3m1, No. 156. As for the formation energy: -8.8 meV per atom.

***

[13]
The following is a PBE-GGA calculation of BaNa3Sr7 after structural relaxation, from Alexandria.

```
BaNa3Sr7
1.0
8.4993 0.0000 0.0000
-4.2496 7.3606 0.0000
0.0000 0.0000 9.7667
Ba Na Sr
1 3 7
Direct
0.0000 0.0000 0.0000 Ba
0.1723 0.3446 0.3270 Na
0.1723 0.8277 0.3270 Na
0.6554 0.8277 0.3270 Na
0.3333 0.6667 0.6580 Sr
0.3344 0.1672 0.6422 Sr
0.5003 0.0006 0.0039 Sr
0.5003 0.4997 0.0039 Sr
0.8328 0.1672 0.6422 Sr
0.8328 0.6656 0.6422 Sr
0.9994 0.4997 0.0039 Sr
```

Computed properties:
As for the symmetry: P3m1, No. 156. As for the formation energy: 98.8 meV per atom.

***

[14]
The following is a PBE-GGA calculation of Ba8NaSr5 after structural relaxation, from Alexandria.

```
Ba8NaSr5
1.0
-5.8595 5.8595 6.2139
5.8595 -5.8595 6.2139
5.8595 5.8595 -6.2139
Ba Na Sr
8 1 5
Direct
0.0638 0.6642 0.7545 Ba
0.1689 0.2786 0.7475 Ba
0.3358 0.0903 0.3996 Ba
0.5310 0.4214 0.2525 Ba
0.5786 0.8311 0.1097 Ba
0.6907 0.9362 0.6004 Ba
0.7214 0.4690 0.8903 Ba
0.9097 0.3093 0.2455 Ba
0.7500 0.2500 0.5000 Na
0.0000 0.0000 0.0000 Sr
0.2072 0.6076 0.1805 Sr
0.3924 0.5729 0.5996 Sr
0.4271 0.0267 0.8195 Sr
0.9733 0.7928 0.4004 Sr
```

Computed properties:
As for the symmetry: I-4, No. 82. As for the formation energy: 116.6 meV per atom.

***

[15]
The following is a PBE-GGA calculation of Ba4NaSr5 after structural relaxation, from Alexandria.

```
Ba4NaSr5
1.0
4.7796 0.0000 0.0000
0.0000 4.7796 0.0000
0.0000 0.0000 24.7919
Ba Na Sr
4 1 5
Direct
0.0000 0.0000 0.1030 Ba
0.0000 0.0000 0.3063 Ba
0.0000 0.0000 0.6937 Ba
0.0000 0.0000 0.8970 Ba
0.0000 0.0000 0.5000 Na
0.5000 0.5000 0.0000 Sr
0.5000 0.5000 0.2046 Sr
0.5000 0.5000 0.4132 Sr
0.5000 0.5000 0.5868 Sr
0.5000 0.5000 0.7954 Sr
```

Computed properties:
As for the symmetry: P4/mmm, No. 123. As for the formation energy: 11.0 meV per atom. The energy above the lowest structure with this stoichiometry comes out at 0 kJ/mol of formula units.

***

[16]
The following is a PBE-GGA calculation of Ba5NaSr5 after structural relaxation, from Alexandria.

```
Ba5NaSr5
1.0
7.5571 0.0000 0.0000
-3.7785 6.5446 0.0000
0.0000 0.0000 14.0766
Ba Na Sr
5 1 5
Direct
0.0000 0.0000 0.0000 Ba
0.3333 0.6667 0.3203 Ba
0.3333 0.6667 0.6797 Ba
0.6667 0.3333 0.1907 Ba
0.6667 0.3333 0.8093 Ba
0.3333 0.6667 0.0000 Na
0.0000 0.0000 0.2664 Sr
0.0000 0.0000 0.7336 Sr
0.3389 0.1694 0.5000 Sr
0.8306 0.1694 0.5000 Sr
0.8306 0.6611 0.5000 Sr
```

Computed properties:
As for the symmetry: P-6m2, No. 187. As for the formation energy: 148.4 meV per atom.

***

[17]
The following is a PBE-GGA calculation of Ba2Na3Sr3 after structural relaxation, from Alexandria.

```
Ba2Na3Sr3
1.0
4.6178 0.0000 0.0000
0.0000 6.6372 0.0000
0.0000 0.0000 26.4051
Ba Na Sr
4 6 6
Direct
0.0000 0.0000 0.2363 Ba
0.0000 0.0000 0.7637 Ba
0.5000 0.5000 0.2637 Ba
0.5000 0.5000 0.7363 Ba
0.0000 0.0000 0.5000 Na
0.0000 0.5000 0.3824 Na
0.0000 0.5000 0.6176 Na
0.5000 0.0000 0.1176 Na
0.5000 0.0000 0.8824 Na
0.5000 0.5000 0.0000 Na
0.0000 0.0000 0.0000 Sr
0.0000 0.5000 0.1213 Sr
0.0000 0.5000 0.8787 Sr
0.5000 0.0000 0.3787 Sr
0.5000 0.0000 0.6213 Sr
0.5000 0.5000 0.5000 Sr
```

Computed properties:
As for the symmetry: Immm, No. 71. As for the formation energy: 30.0 meV per atom.

***

[18]
The following is a PBE-GGA calculation of Ba3Na4Sr after structural relaxation, from Alexandria.

```
Ba3Na4Sr
1.0
21.1520 0.0000 0.0000
0.0000 4.3005 0.0000
-2.1048 0.0000 9.2704
Ba Na Sr
6 8 2
Direct
0.0000 0.0000 0.0000 Ba
0.1844 0.0000 0.6315 Ba
0.3156 0.5000 0.3685 Ba
0.5000 0.5000 0.0000 Ba
0.6844 0.5000 0.6315 Ba
0.8156 0.0000 0.3685 Ba
0.1282 0.5000 0.2810 Na
0.1717 0.5000 0.9703 Na
0.3283 0.0000 0.0297 Na
0.3718 0.0000 0.7190 Na
0.6282 0.0000 0.2810 Na
0.6717 0.0000 0.9703 Na
0.8283 0.5000 0.0297 Na
0.8718 0.5000 0.7190 Na
0.0000 0.5000 0.5000 Sr
0.5000 0.0000 0.5000 Sr
```

Computed properties:
As for the symmetry: C2/m, No. 12. As for the formation energy: 107.4 meV per atom. The energy above the lowest structure with this stoichiometry comes out at 71 kJ/mol of formula units.

***

[19]
The following is a PBE-GGA calculation of Ba3NaSr6 after structural relaxation, from Alexandria.

```
Ba3NaSr6
1.0
12.9973 0.0000 0.0000
0.0000 6.3118 0.0000
-0.9947 0.0000 13.6988
Ba Na Sr
6 2 12
Direct
0.0471 0.2500 0.4044 Ba
0.1499 0.7500 0.2136 Ba
0.2555 0.2500 0.0157 Ba
0.7445 0.7500 0.9843 Ba
0.8501 0.2500 0.7864 Ba
0.9529 0.7500 0.5956 Ba
0.4486 0.2500 0.6141 Na
0.5514 0.7500 0.3859 Na
0.0570 0.7500 0.9022 Sr
0.1696 0.2500 0.7063 Sr
0.2776 0.7500 0.5154 Sr
0.3551 0.7500 0.8145 Sr
0.3704 0.2500 0.3238 Sr
0.4550 0.7500 0.1105 Sr
0.5450 0.2500 0.8895 Sr
0.6296 0.7500 0.6762 Sr
0.6449 0.2500 0.1855 Sr
0.7224 0.2500 0.4846 Sr
0.8304 0.7500 0.2937 Sr
0.9430 0.2500 0.0978 Sr
```

Computed properties:
As for the symmetry: P2_1/m, No. 11. As for the formation energy: 19.2 meV per atom. The energy above the lowest structure with this stoichiometry comes out at 0 kJ/mol of formula units.

***

[20]
The following is a PBE-GGA calculation of Ba5Na2Sr6 after structural relaxation, from Alexandria.

```
Ba5Na2Sr6
1.0
12.5947 0.0000 0.0000
0.0000 27.5568 0.0000
0.0000 0.0000 4.2559
Ba Na Sr
10 4 12
Direct
0.0000 0.0000 0.0000 Ba
0.0851 0.2512 0.0000 Ba
0.1690 0.5029 0.0000 Ba
0.3310 0.0029 0.0000 Ba
0.4149 0.7512 0.0000 Ba
0.5000 0.5000 0.0000 Ba
0.5851 0.2488 0.0000 Ba
0.6690 0.9971 0.0000 Ba
0.8310 0.4971 0.0000 Ba
0.9149 0.7488 0.0000 Ba
0.1648 0.7336 0.5000 Na
0.3352 0.2336 0.5000 Na
0.6648 0.7664 0.5000 Na
0.8352 0.2664 0.5000 Na
0.0171 0.3835 0.5000 Sr
0.1517 0.1187 0.5000 Sr
0.1652 0.8621 0.0000 Sr
0.3348 0.3621 0.0000 Sr
0.3483 0.6187 0.5000 Sr
0.4829 0.8835 0.5000 Sr
0.5171 0.1165 0.5000 Sr
0.6517 0.3813 0.5000 Sr
0.6652 0.6379 0.0000 Sr
0.8348 0.1379 0.0000 Sr
0.8483 0.8813 0.5000 Sr
0.9829 0.6165 0.5000 Sr
```

Computed properties:
As for the symmetry: Pbam, No. 55. As for the formation energy: 69.2 meV per atom.

***

Number 1: DFT total energy -0.1201 Ry/atom. Number 2: DFT total energy -0.1225 Ry/atom. Number 3: DFT total energy -0.1174 Ry/atom. Number 4: DFT total energy -0.1136 Ry/atom. Number 5: DFT total energy -0.1123 Ry/atom. Number 6: DFT total energy -0.1057 Ry/atom. Number 7: DFT total energy -0.1144 Ry/atom. Number 8: DFT total energy -0.1166 Ry/atom. Number 9: DFT total energy -0.1233 Ry/atom. Number 10: DFT total energy -0.1063 Ry/atom. Number 11: DFT total energy -0.1196 Ry/atom. Number 12: DFT total energy -0.1109 Ry/atom. Number 13: DFT total energy -0.1107 Ry/atom. Number 14: DFT total energy -0.1233 Ry/atom. Number 15: DFT total energy -0.1272 Ry/atom. Number 16: DFT total energy -0.1183 Ry/atom. Number 17: DFT total energy -0.1158 Ry/atom. Number 18: DFT total energy -0.1090 Ry/atom. Number 19: DFT total energy -0.1248 Ry/atom. Number 20: DFT total energy -0.1212 Ry/atom.